Record 1
This record from Alexandria describes ScBeCd2 after structural relaxation. The functional is PBE.

abc: 4.694 4.694 4.694
angles: 60.00 60.00 60.00
Element x y z (fractional)
Sc 0.500 0.500 0.500
Be 0.000 0.000 0.000
Cd 0.250 0.250 0.250
Cd 0.750 0.750 0.750

Output
Formation energy: 0.054 eV per atom
Polymorph energy (0 for the lowest one): 43 meV per atom

Record 2
This record from Alexandria describes KAs2W after structural relaxation. The functional is PBE.

abc: 2.826 2.826 11.164
angles: 90.00 90.00 90.00
Element x y z (fractional)
K 0.000 0.000 0.504
As 0.500 0.500 0.260
As 0.000 0.000 0.953
W 0.500 0.500 0.783

Output
Formation energy: 0.670 eV per atom
Polymorph energy (0 for the lowest one): 761 meV per atom

Record 3
This record from Alexandria describes Sr2SiIr after structural relaxation. The functional is PBE.

abc: 9.362 9.362 9.362
angles: 23.03 23.03 23.03
Element x y z (fractional)
Sr 0.506 0.506 0.506
Sr 0.994 0.994 0.994
Si 0.750 0.750 0.750
Ir 0.250 0.250 0.250

Output
Energy relative to the elements, uncorrected: 0.32 eV/atom

Record 4
This record from Alexandria describes LiRe2Pt after structural relaxation. The functional is PBE.

abc: 3.265 3.265 5.352
angles: 90.00 90.00 90.00
Element x y z (fractional)
Re 0.000 0.000 0.472
Re 0.000 0.000 0.028
Li 0.500 0.500 0.250
Pt 0.500 0.500 0.750

Output
Formation energy: 0.383 eV per atom
Polymorph energy (0 for the lowest one): 432 meV per atom

Record 5
This record from Alexandria describes SrTlSeCl after structural relaxation. The functional is PBE.

abc: 5.402 5.402 5.402
angles: 60.00 60.00 60.00
Element x y z (fractional)
Cl 0.000 0.000 0.000
Tl 0.250 0.250 0.250
Sr 0.750 0.750 0.750
Se 0.500 0.500 0.500

Output
Energy relative to the elements, uncorrected: -1.41 eV/atom
Polymorph energy (0 for the lowest one): 170 meV per atom

Record 6
This record from Alexandria describes La2HoSi after structural relaxation. The functional is PBE.

abc: 4.900 4.712 4.712
angles: 90.00 90.00 90.00
Element x y z (fractional)
Si 0.500 0.500 0.500
La 0.000 0.500 0.000
La 0.000 0.000 0.500
Ho 0.500 0.000 0.000

Output
Energy relative to the elements, uncorrected: -0.26 eV/atom

Record 7
This record from Alexandria describes La2DySn after structural relaxation. The functional is PBE.

abc: 4.343 4.343 6.853
angles: 90.00 90.00 90.00
Element x y z (fractional)
La 0.000 0.000 0.273
La 0.000 0.000 0.727
Dy 0.500 0.500 0.000
Sn 0.500 0.500 0.500

Output
Formation energy: -0.383 eV per atom
Polymorph energy (0 for the lowest one): 72 meV per atom

What E_tot values result from the calculations? In sequence: -2.92, -5.17, -4.09, -7.83, -3.76, -5.23, -5.00 eV per atom.
What calculated volume values result from the calculations? In sequence: 18.28, 22.28, 27.56, 14.26, 27.87, 27.20, 32.31 Å³ per atom.